# GGA-PBE Ac8Ir2Au, relaxed
# Calculated volume = 455.4 Å³ per cell
# DFT formation energy = -0.34 eV per atom
# Total DFT energy (no corrections) = -5.24 eV per atom
data_Ac8Ir2Au
_cell_length_a 6.151
_cell_length_b 8.731
_cell_length_c 8.743
_cell_angle_alpha 75.98
_cell_angle_beta 88.95
_cell_angle_gamma 88.99
_space_group_name_H-M_alt 'P -1'
_space_group_IT_number 2
_space_group_name_Hall '-P 1'
loop_
_atom_site_label
_atom_site_type_symbol
_atom_site_fract_x
_atom_site_fract_y
_atom_site_fract_z
Ac1 Ac 0.228 0.317 0.319
Ac2 Ac 0.247 0.890 0.888
Ac3 Ac 0.259 0.841 0.386
Ac4 Ac 0.260 0.389 0.843
Ir1 Ir 0.253 0.108 0.107
Au1 Au 0.500 0.500 0.500

# GGA-PBE BeSi2O, relaxed
# Calculated volume = 176.8 Å³ per cell
# Raw formation energy = 0.442 eV/atom
# Energy above the lowest structure with this stoichiometry = 611 meV/atom
# Total DFT energy (no corrections) = -4.44 eV per atom
data_BeSi2O
_cell_length_a 5.613
_cell_length_b 5.613
_cell_length_c 5.613
_cell_angle_alpha 90.00
_cell_angle_beta 90.00
_cell_angle_gamma 90.00
_space_group_name_H-M_alt 'F m -3 m'
_space_group_IT_number 225
_space_group_name_Hall '-F 4 2 3'
loop_
_atom_site_label
_atom_site_type_symbol
_atom_site_fract_x
_atom_site_fract_y
_atom_site_fract_z
Be1 Be 0.000 0.000 0.000
Si1 Si 0.250 0.250 0.250
O1 O 0.000 0.000 0.500

Which value of total DFT energy (no corrections) does entry 1 give? -5.24 eV per atom

Look up the calculated volume of the second one. 176.8 Å³ per cell

What is the total DFT energy (no corrections) in the first record? -5.24 eV per atom

Look up the total DFT energy (no corrections) of the second one. -4.44 eV per atom